Record 1
Compound: TlTePt2
Source: Alexandria via LeMat-Bulk
Functional: PBE
Structure: relaxed

Cell: 3.6262 3.6262 6.9332 Å, 90.00 90.00 90.00°
Space group P4mm (No. 99)
Inequivalent atoms, fractional coordinates:
Tl 0.0000 0.0000 0.0000 (multiplicity 1)
Te 0.5000 0.5000 0.5725 (multiplicity 1)
Pt 0.0000 0.0000 0.4293 (multiplicity 1)
Pt 0.5000 0.5000 0.1983 (multiplicity 1)

ΔE_f (raw): -0.0381 eV/atom
N(E_F): 1.49 states/eV/f.u.

---

Record 2
Compound: TlTePt2
Source: Alexandria via LeMat-Bulk
Functional: PBE
Structure: relaxed

Cell: 3.9605 3.9605 21.4439 Å, 90.00 90.00 120.00°
Space group R3m (No. 160, hexagonal axes)
Inequivalent atoms, fractional coordinates:
Tl 0.0000 0.0000 0.0000 (multiplicity 3)
Te 0.0000 0.0000 0.2032 (multiplicity 3)
Pt 0.0000 0.0000 0.4766 (multiplicity 3)
Pt 0.0000 0.0000 0.7435 (multiplicity 3)

ΔE_f (raw): -0.0987 eV/atom
N(E_F): 1.84 states/eV/f.u.

---

Record 3
Compound: TlTe2Pt
Source: Alexandria via LeMat-Bulk
Functional: PBE
Structure: relaxed

Cell: 6.2270 9.2793 4.0126 Å, 90.00 90.00 90.00°
Space group Cmmm (No. 65)
Inequivalent atoms, fractional coordinates:
Tl 0.0000 0.0000 0.0000 (multiplicity 2)
Te 0.0000 0.3106 0.5000 (multiplicity 4)
Pt 0.0000 0.5000 0.0000 (multiplicity 2)

ΔE_f (raw): -0.2716 eV/atom
N(E_F): 1.85 states/eV/f.u.

---

Record 4
Compound: TlTePt2
Source: Alexandria via LeMat-Bulk
Functional: PBE
Structure: relaxed

Cell: 4.0595 4.0595 9.8455 Å, 90.00 90.00 90.00°
Space group I-4m2 (No. 119)
Inequivalent atoms, fractional coordinates:
Tl 0.0000 0.0000 0.0000 (multiplicity 2)
Te 0.0000 0.5000 0.2500 (multiplicity 2)
Pt 0.0000 0.0000 0.5000 (multiplicity 2)
Pt 0.0000 0.5000 0.7500 (multiplicity 2)

ΔE_f (raw): 0.1649 eV/atom
N(E_F): 2.38 states/eV/f.u.

---

Energy above the most stable polymorph in this dataset (computed, meV per atom): 61; 0; 21; 264